# HgMo2Os

A relaxed structure of HgMo2Os (PBE-GGA, Alexandria).

Its density of states at the Fermi level is 0.949 states/eV per atom. Its formation energy is 0.5709 eV/atom. As for the electronic total energy: -7.727 eV/atom. Its space-group type is Imm2.

Unit cell a=5.513 b=5.513 c=5.513 alpha=148.32 beta=129.31 gamma=61.02
Fractional positions:
1 Hg 0.000 0.000 0.000
2 Mo 0.281 0.781 0.500
3 Mo 0.513 0.513 0.000
4 Os 0.733 0.233 0.500



# Cd2Ag4Au5

A relaxed structure of Cd2Ag4Au5 (PBE-GGA, Alexandria).

Its density of states at the Fermi level is 0.339 states/eV per atom. Its formation energy is -0.0360 eV/atom. As for the electronic total energy: -2.729 eV/atom. Its space-group type is Pbam. The value obtained for the distance to the lowest polymorph of the same formula is 0.000 eV per atom.

Unit cell a=6.584 b=16.549 c=3.878 alpha=90.00 beta=90.00 gamma=90.00
Fractional positions:
1 Cd 0.025 0.213 0.000
2 Cd 0.475 0.713 0.000
3 Cd 0.525 0.287 0.000
4 Cd 0.975 0.787 0.000
5 Ag 0.093 0.623 0.000
6 Ag 0.196 0.956 0.000
7 Ag 0.304 0.456 0.000
8 Ag 0.407 0.123 0.000
9 Ag 0.593 0.877 0.000
10 Ag 0.696 0.544 0.000
11 Ag 0.804 0.044 0.000
12 Ag 0.907 0.377 0.000
13 Au 0.000 0.500 0.500
14 Au 0.107 0.085 0.500
15 Au 0.205 0.326 0.500
16 Au 0.295 0.826 0.500
17 Au 0.393 0.585 0.500
18 Au 0.500 0.000 0.500
19 Au 0.607 0.415 0.500
20 Au 0.705 0.174 0.500
21 Au 0.795 0.674 0.500
22 Au 0.893 0.915 0.500



# LiLaBe2

A relaxed structure of LiLaBe2 (PBE-GGA, Alexandria).

Its density of states at the Fermi level is 0.546 states/eV per atom. Its formation energy is 0.1960 eV/atom. As for the electronic total energy: -3.377 eV/atom. Its space-group type is Cm. The value obtained for the distance to the lowest polymorph of the same formula is 0.000 eV per atom.

Unit cell a=4.048 b=4.048 c=5.570 alpha=111.02 beta=111.02 gamma=60.00
Fractional positions:
1 Li 0.000 0.000 0.000
2 La 0.191 0.191 0.575
3 Be 0.397 0.397 0.190
4 Be 0.719 0.719 0.160



# CsTe4

A relaxed structure of CsTe4 (PBE-GGA, Alexandria).

The calculation puts the formation energy from raw total energies at -0.40 eV per atom. As for the electronic total energy: -3.084 eV/atom. Its space-group type is P2_1/c. The value obtained for the distance to the lowest polymorph of the same formula is 0.000 eV per atom.

Unit cell a=8.155 b=7.355 c=14.266 alpha=90.00 beta=93.68 gamma=90.00
Fractional positions:
1 Cs 0.143 0.121 0.353
2 Cs 0.143 0.379 0.853
3 Cs 0.857 0.621 0.147
4 Cs 0.857 0.879 0.647
5 Te 0.129 0.608 0.468
6 Te 0.129 0.892 0.968
7 Te 0.350 0.517 0.213
8 Te 0.350 0.983 0.713
9 Te 0.378 0.560 0.626
10 Te 0.378 0.940 0.126
11 Te 0.465 0.194 0.567
12 Te 0.465 0.306 0.067
13 Te 0.535 0.694 0.933
14 Te 0.535 0.806 0.433
15 Te 0.622 0.060 0.874
16 Te 0.622 0.440 0.374
17 Te 0.650 0.017 0.287
18 Te 0.650 0.483 0.787
19 Te 0.871 0.108 0.032
20 Te 0.871 0.392 0.532